{
  "formula": "CaZr2Ir2",
  "functional": "GGA-PBE",
  "state": "optimized geometry",
  "lattice": [[8.114, 0.000, 0.000], [0.000, 8.114, 0.000], [0.000, 0.000, 3.065]],
  "species": ["Ca", "Ca", "Ir", "Ir", "Ir", "Ir", "Zr", "Zr", "Zr", "Zr"],
  "fractional_positions": [[0.000, 0.000, 0.000], [0.500, 0.500, 0.000], [0.151, 0.651, 0.500], [0.651, 0.849, 0.500], [0.849, 0.349, 0.500], [0.349, 0.151, 0.500], [0.356, 0.856, 0.000], [0.856, 0.644, 0.000], [0.644, 0.144, 0.000], [0.144, 0.356, 0.000]],
  "sg": "No. 127",
  "relative_energy_mev_per_atom": 141,
  "total_energy_ev_per_atom": -7.91,
  "formation_enthalpy_0k_mev_per_atom": -548
}

---

{
  "formula": "Ca2ZrIr",
  "functional": "GGA-PBE",
  "state": "optimized geometry",
  "lattice": [[-3.396, 1.300, -1.989], [-2.333, -1.142, 3.237], [0.590, 4.762, 2.105]],
  "species": ["Ca", "Ca", "Ir", "Zr"],
  "fractional_positions": [[0.000, 0.000, 0.000], [0.500, 0.500, 0.000], [0.500, 0.000, 0.500], [0.000, 0.500, 0.500]],
  "sg": "No. 123",
  "relative_energy_mev_per_atom": 303,
  "total_energy_ev_per_atom": -5.33,
  "formation_enthalpy_0k_mev_per_atom": 26
}

---

{
  "formula": "CaZr2Ir",
  "functional": "GGA-PBE",
  "state": "optimized geometry",
  "lattice": [[8.102, 0.000, 0.000], [0.000, 8.102, 0.000], [4.051, 4.051, 3.024]],
  "species": ["Ca", "Ca", "Ir", "Ir", "Zr", "Zr", "Zr", "Zr"],
  "fractional_positions": [[0.500, 0.500, 0.000], [0.250, 0.750, 0.500], [0.000, 0.000, 0.000], [0.750, 0.250, 0.500], [0.693, 0.125, 0.250], [0.057, 0.625, 0.250], [0.375, 0.307, 0.750], [0.875, 0.943, 0.750]],
  "sg": "No. 122",
  "relative_energy_mev_per_atom": 206,
  "total_energy_ev_per_atom": -7.07,
  "formation_enthalpy_0k_mev_per_atom": -76
}

---

{
  "formula": "CaZr2Ir",
  "functional": "GGA-PBE",
  "state": "optimized geometry",
  "lattice": [[-5.376, 8.313, -1.255], [-6.042, 6.799, -4.105], [-7.791, 6.075, -1.406]],
  "species": ["Ca", "Ir", "Zr", "Zr"],
  "fractional_positions": [[0.487, 0.487, 0.487], [0.744, 0.744, 0.744], [0.011, 0.011, 0.011], [0.258, 0.258, 0.258]],
  "sg": "No. 160",
  "relative_energy_mev_per_atom": 270,
  "total_energy_ev_per_atom": -7.00,
  "formation_enthalpy_0k_mev_per_atom": -12
}